Entry 1:
## ZrCd2Pb (meta-GGA SCAN)

Data for a crystal of ZrCd2Pb relaxed with PBEsol.

Unit cell a=3.2560 b=5.0455 c=6.2341 alpha=113.87 beta=105.14 gamma=90.00
Last column: nearest neighbours and their distance in Å.
Element x y z (fractional)
Pb 0.5000 0.0000 0.0000  4 Zr 3.00, 2 Pb 3.26, 4 Cd 3.28
Zr 0.0000 0.5000 0.0000  4 Pb 3.00, 4 Cd 3.09, 2 Zr 3.26
Cd 0.7399 0.7399 0.4797  6 Cd 3.01-3.26, 2 Zr 3.09, 2 Pb 3.28
Cd 0.2601 0.2601 0.5203  6 Cd 3.01-3.26, 2 Zr 3.09, 2 Pb 3.28

Properties
The magnetic moment comes out at 0.000 μB/f.u. The formation energy comes out at -0.12 eV per atom. The volume comes out at 22.439 Å³ per atom. The calculation puts the calculated total energy at -41.949 eV per atom. As for the crystal system: orthorhombic. Its symmetry is Immm (71).


Entry 2:
## Pr6Cd4Pd13 (meta-GGA SCAN)

Data for a crystal of Pr6Cd4Pd13 relaxed with PBEsol.

Unit cell a=8.4193 b=8.4193 c=8.4193 alpha=109.47 beta=109.47 gamma=109.47
Last column: nearest neighbours and their distance in Å.
Element x y z (fractional)
Pr 0.0000 0.3008 0.3008  5 Pd 2.91-2.92
Pr 0.0000 0.6992 0.6992  5 Pd 2.91-2.92
Pr 0.6992 0.0000 0.6992  5 Pd 2.91-2.92
Pr 0.3008 0.3008 0.0000  5 Pd 2.91-2.92
Pr 0.3008 0.0000 0.3008  5 Pd 2.91-2.92
Pr 0.6992 0.6992 0.0000  5 Pd 2.91-2.92
Cd 0.0000 0.5000 0.0000  6 Pd 2.74
Cd 0.5000 0.5000 0.5000  6 Pd 2.74
Cd 0.0000 0.0000 0.5000  6 Pd 2.74
Cd 0.5000 0.0000 0.0000  6 Pd 2.74
Pd 0.6584 0.6584 0.3168  2 Cd 2.74, 4 Pd 2.81, 2 Pr 2.91
Pd 0.0000 0.6584 0.3416  2 Cd 2.74, 4 Pd 2.81, 2 Pr 2.91
Pd 0.3416 0.6832 0.3416  2 Cd 2.74, 4 Pd 2.81, 2 Pr 2.91
Pd 0.6832 0.3416 0.3416  2 Cd 2.74, 4 Pd 2.81, 2 Pr 2.91
Pd 0.3416 0.0000 0.6584  2 Cd 2.74, 4 Pd 2.81, 2 Pr 2.91
Pd 0.3168 0.6584 0.6584  2 Cd 2.74, 4 Pd 2.81, 2 Pr 2.91
Pd 0.6584 0.0000 0.3416  2 Cd 2.74, 4 Pd 2.81, 2 Pr 2.91
Pd 0.6584 0.3416 0.0000  2 Cd 2.74, 4 Pd 2.81, 2 Pr 2.91
Pd 0.0000 0.3416 0.6584  2 Cd 2.74, 4 Pd 2.81, 2 Pr 2.91
Pd 0.3416 0.6584 0.0000  2 Cd 2.74, 4 Pd 2.81, 2 Pr 2.91
Pd 0.6584 0.3168 0.6584  2 Cd 2.74, 4 Pd 2.81, 2 Pr 2.91
Pd 0.0000 0.0000 0.0000  6 Pr 2.92
Pd 0.3416 0.3416 0.6832  2 Cd 2.74, 4 Pd 2.81, 2 Pr 2.91

Properties
The magnetic moment comes out at 0.000 μB/f.u. The formation energy comes out at -0.79 eV per atom. The volume comes out at 19.974 Å³ per atom. The calculation puts the calculated total energy at -35.905 eV per atom. As for the crystal system: cubic. Its symmetry is Im-3m (229).


Entry 3:
## Cd2PdRh (meta-GGA SCAN)

Data for a crystal of Cd2PdRh relaxed with PBEsol.

Unit cell a=4.5028 b=4.5028 c=4.5028 alpha=60.00 beta=60.00 gamma=60.00
Last column: nearest neighbours and their distance in Å.
Element x y z (fractional)
Rh 0.0000 0.0000 0.0000  8 Cd 2.76
Pd 0.5000 0.5000 0.5000  8 Cd 2.76
Cd 0.2500 0.2500 0.2500  4 Rh 2.76, 4 Pd 2.76
Cd 0.7500 0.7500 0.7500  4 Rh 2.76, 4 Pd 2.76

Properties
The magnetic moment comes out at 0.000 μB/f.u. The formation energy comes out at -0.28 eV per atom. The volume comes out at 16.139 Å³ per atom. The calculation puts the calculated total energy at -32.125 eV per atom. As for the crystal system: cubic. Its symmetry is Fm-3m (225).


Entry 4:
## Cd3PdRu (meta-GGA SCAN)

Data for a crystal of Cd3PdRu relaxed with PBEsol.

Unit cell a=4.9760 b=4.9760 c=4.9760 alpha=90.00 beta=90.00 gamma=90.00
Last column: nearest neighbours and their distance in Å.
Element x y z (fractional)
Ru 0.0000 0.0000 0.0000  6 Cd 2.49
Pd 0.5000 0.5000 0.5000  12 Cd 3.52
Cd 0.0000 0.5000 0.0000  2 Ru 2.49
Cd 0.0000 0.0000 0.5000  2 Ru 2.49
Cd 0.5000 0.0000 0.0000  2 Ru 2.49

Properties
The magnetic moment comes out at 0.645 μB/f.u. The formation energy comes out at 0.94 eV per atom. The volume comes out at 24.641 Å³ per atom. The calculation puts the calculated total energy at -30.828 eV per atom. As for the crystal system: cubic. Its symmetry is Pm-3m (221).


Entry 5:
## CdPdSe2S (meta-GGA SCAN)

Data for a crystal of CdPdSe2S relaxed with PBEsol.

Unit cell a=4.7866 b=4.7866 c=4.7926 alpha=90.00 beta=90.00 gamma=90.00
Last column: nearest neighbours and their distance in Å.
Element x y z (fractional)
S 0.0000 0.0000 0.0000  4 Se 2.39, 2 Cd 2.40
Se 0.0000 0.5000 0.0000  2 S 2.39
Se 0.5000 0.0000 0.0000  2 S 2.39
Pd 0.5000 0.5000 0.5000  4 Cd 3.38, 8 Se 3.39
Cd 0.0000 0.0000 0.5000  2 S 2.40

Properties
The magnetic moment comes out at 0.000 μB/f.u. The volume comes out at 21.961 Å³ per atom. The calculation puts the calculated total energy at -21.982 eV per atom. The formation energy from raw total energies comes out at 613 meV per atom. As for the crystal system: tetragonal. Its symmetry is P4/mmm (123).


Entry 6:
## ScCdPd (meta-GGA SCAN)

Data for a crystal of ScCdPd relaxed with PBEsol.

Unit cell a=3.4493 b=3.4493 c=5.1423 alpha=109.60 beta=109.60 gamma=90.00
Last column: nearest neighbours and their distance in Å.
Element x y z (fractional)
Sc 0.0040 0.0040 0.0079  4 Pd 2.78, 5 Cd 2.87-2.95
Pd 0.6505 0.6505 0.3009  4 Sc 2.78, 5 Cd 2.89-2.98
Cd 0.3209 0.3209 0.6418  5 Sc 2.87-2.95, 5 Pd 2.89-2.98

Properties
The magnetic moment comes out at 0.000 μB/f.u. The formation energy comes out at -0.74 eV per atom. The volume comes out at 17.954 Å³ per atom. The calculation puts the calculated total energy at -26.544 eV per atom. As for the crystal system: tetragonal. Its symmetry is I4mm (107).


Entry 7:
## ScCd3Pd (meta-GGA SCAN)

Data for a crystal of ScCd3Pd relaxed with PBEsol.

Unit cell a=4.9807 b=4.9807 c=4.9807 alpha=90.00 beta=90.00 gamma=90.00
Last column: nearest neighbours and their distance in Å.
Element x y z (fractional)
Sc 0.5000 0.5000 0.5000  12 Cd 3.52
Pd 0.0000 0.0000 0.0000  6 Cd 2.49
Cd 0.0000 0.5000 0.0000  2 Pd 2.49
Cd 0.0000 0.0000 0.5000  2 Pd 2.49
Cd 0.5000 0.0000 0.0000  2 Pd 2.49

Properties
The magnetic moment comes out at 0.913 μB/f.u. The formation energy comes out at 0.16 eV per atom. The volume comes out at 24.712 Å³ per atom. The calculation puts the calculated total energy at -27.495 eV per atom. As for the crystal system: cubic. Its symmetry is Pm-3m (221).


Entry 8:
## Cd3PdSe (meta-GGA SCAN)

Data for a crystal of Cd3PdSe relaxed with PBEsol.

Unit cell a=5.1360 b=5.1360 c=5.1360 alpha=90.00 beta=90.00 gamma=90.00
Last column: nearest neighbours and their distance in Å.
Element x y z (fractional)
Se 0.0000 0.0000 0.0000  6 Cd 2.57
Pd 0.5000 0.5000 0.5000  12 Cd 3.63
Cd 0.0000 0.5000 0.0000  2 Se 2.57
Cd 0.0000 0.0000 0.5000  2 Se 2.57
Cd 0.5000 0.0000 0.0000  2 Se 2.57

Properties
The magnetic moment comes out at 0.000 μB/f.u. The volume comes out at 27.097 Å³ per atom. The calculation puts the calculated total energy at -28.131 eV per atom. The formation energy from raw total energies comes out at 688 meV per atom. As for the crystal system: cubic. Its symmetry is Pm-3m (221). The excess energy over the best structure of this formula in the dataset is 265 kJ/mol of formula units.


Entry 9:
## Cd3PdSe (meta-GGA SCAN)

Data for a crystal of Cd3PdSe relaxed with PBEsol.

Unit cell a=5.0395 b=5.0395 c=5.0395 alpha=90.00 beta=90.00 gamma=90.00
Last column: nearest neighbours and their distance in Å.
Element x y z (fractional)
Se 0.5000 0.5000 0.5000  12 Cd 3.56
Pd 0.0000 0.0000 0.0000  6 Cd 2.52
Cd 0.0000 0.5000 0.0000  2 Pd 2.52
Cd 0.0000 0.0000 0.5000  2 Pd 2.52
Cd 0.5000 0.0000 0.0000  2 Pd 2.52

Properties
The magnetic moment comes out at 0.000 μB/f.u. The volume comes out at 25.597 Å³ per atom. The calculation puts the calculated total energy at -28.681 eV per atom. The formation energy from raw total energies comes out at 138 meV per atom. As for the crystal system: cubic. Its symmetry is Pm-3m (221). The excess energy over the best structure of this formula in the dataset is 0 kJ/mol of formula units.


Entry 10:
## SrCdSiPd2 (meta-GGA SCAN)

Data for a crystal of SrCdSiPd2 relaxed with PBEsol.

Unit cell a=4.6830 b=5.0399 c=5.0399 alpha=90.00 beta=90.00 gamma=90.00
Last column: nearest neighbours and their distance in Å.
Element x y z (fractional)
Sr 0.5000 0.5000 0.5000  8 Pd 3.44, 4 Si 3.56
Si 0.5000 0.0000 0.0000  2 Cd 2.34
Pd 0.0000 0.0000 0.5000  2 Cd 2.52
Pd 0.0000 0.5000 0.0000  2 Cd 2.52
Cd 0.0000 0.0000 0.0000  2 Si 2.34, 4 Pd 2.52

Properties
The magnetic moment comes out at 0.000 μB/f.u. The volume comes out at 23.790 Å³ per atom. The calculation puts the calculated total energy at -25.453 eV per atom. The formation energy from raw total energies comes out at 198 meV per atom. As for the crystal system: tetragonal. Its symmetry is P4/mmm (123).


Entry 11:
## Sm2CdPd2 (meta-GGA SCAN)

Data for a crystal of Sm2CdPd2 relaxed with PBEsol.

Unit cell a=3.7799 b=7.6381 c=7.6381 alpha=90.00 beta=90.00 gamma=90.00
Last column: nearest neighbours and their distance in Å.
Element x y z (fractional)
Sm 0.5000 0.3265 0.8265  6 Pd 2.86-3.00
Sm 0.5000 0.8265 0.6735  6 Pd 2.86-3.00
Sm 0.5000 0.1735 0.3265  6 Pd 2.86-3.00
Sm 0.5000 0.6735 0.1735  6 Pd 2.86-3.00
Cd 0.0000 0.0000 0.0000  4 Pd 3.01
Cd 0.0000 0.5000 0.5000  4 Pd 3.01
Pd 0.0000 0.3721 0.1279  1 Pd 2.76, 6 Sm 2.86-3.00, 2 Cd 3.01
Pd 0.0000 0.8721 0.3721  1 Pd 2.76, 6 Sm 2.86-3.00, 2 Cd 3.01
Pd 0.0000 0.1279 0.6279  1 Pd 2.76, 6 Sm 2.86-3.00, 2 Cd 3.01
Pd 0.0000 0.6279 0.8721  1 Pd 2.76, 6 Sm 2.86-3.00, 2 Cd 3.01

Properties
The magnetic moment comes out at 0.000 μB/f.u. The formation energy comes out at -0.85 eV per atom. The volume comes out at 22.053 Å³ per atom. The calculation puts the calculated total energy at -37.815 eV per atom. As for the crystal system: tetragonal. Its symmetry is P4/mbm (127).


Entry 12:
## CdSn3Pd (meta-GGA SCAN)

Data for a crystal of CdSn3Pd relaxed with PBEsol.

Unit cell a=5.1434 b=5.1434 c=5.1434 alpha=90.00 beta=90.00 gamma=90.00
Last column: nearest neighbours and their distance in Å.
Element x y z (fractional)
Sn 0.0000 0.5000 0.0000  2 Pd 2.57
Sn 0.0000 0.0000 0.5000  2 Pd 2.57
Sn 0.5000 0.0000 0.0000  2 Pd 2.57
Pd 0.0000 0.0000 0.0000  6 Sn 2.57
Cd 0.5000 0.5000 0.5000  12 Sn 3.64

Properties
The magnetic moment comes out at 0.000 μB/f.u. The formation energy comes out at 0.18 eV per atom. The volume comes out at 27.213 Å³ per atom. The calculation puts the calculated total energy at -34.012 eV per atom. As for the crystal system: cubic. Its symmetry is Pm-3m (221).